[1]
DFT (PBE) results for a relaxed structure of TbEuS2.

Lattice parameters (Å, degrees): 4.0035 4.0035 19.9174 90.00 90.00 120.00
Closest atoms and distances in Å follow each position.
Space group R-3m (No. 166, hexagonal axes)
Symmetry-distinct sites (fractional):
Tb  0.0000  0.0000  0.0000 x3  6 S 2.80
Eu  0.0000  0.0000  0.5000 x3  6 S 2.90
S  0.0000  0.0000  0.2543 x6  3 Tb 2.80, 3 Eu 2.90

total moment = 20.81 Bohr magnetons per cell
crystal system = trigonal
formation energy without anion corrections = -2091 meV per atom
E = -7.881 eV/atom

=====

[2]
DFT (PBE) results for a relaxed structure of TbEu4S5.

Lattice parameters (Å, degrees): 4.0970 4.0970 28.9779 90.00 90.00 90.00
Closest atoms and distances in Å follow each position.
Space group I4/mmm (No. 139)
Symmetry-distinct sites (fractional):
Tb  0.0000  0.0000  0.0000 x2  6 S 2.79-2.90
Eu  0.0000  0.0000  0.1993 x4  6 S 2.90-2.98
Eu  0.0000  0.0000  0.4010 x4  6 S 2.87-2.91
S  0.0000  0.0000  0.0963 x4  1 Tb 2.79, 5 Eu 2.90-2.98
S  0.0000  0.0000  0.3005 x4  6 Eu 2.90-2.93
S  0.0000  0.0000  0.5000 x2  2 Eu 2.87, 4 Tb 2.90

total moment = 56.28 Bohr magnetons per cell
crystal system = tetragonal
formation energy without anion corrections = -2120 meV per atom
E = -8.756 eV/atom

=====

[3]
DFT (PBE) results for a relaxed structure of EuTcS2.

Lattice parameters (Å, degrees): 3.6210 3.6210 24.8278 90.00 90.00 120.00
Closest atoms and distances in Å follow each position.
Space group R-3m (No. 166, hexagonal axes)
Symmetry-distinct sites (fractional):
Eu  0.0000  0.0000  0.0000 x3  2 S 2.83
Tc  0.0000  0.0000  0.5000 x3  6 S 2.46
S  0.0000  0.0000  0.1141 x6  3 Tc 2.46

total moment = 28.86 Bohr magnetons per cell
crystal system = trigonal
formation energy without anion corrections = -420 meV per atom
E = -7.644 eV/atom

=====

[4]
DFT (PBE) results for a relaxed structure of EuTiS2.

Lattice parameters (Å, degrees): 3.7755 3.7755 18.8897 90.00 90.00 120.00
Closest atoms and distances in Å follow each position.
Space group R-3m (No. 166, hexagonal axes)
Symmetry-distinct sites (fractional):
Eu  0.0000  0.0000  0.0000 x3  6 S 2.83
Ti  0.0000  0.0000  0.5000 x3  6 S 2.56
S  0.0000  0.0000  0.2375 x6  3 Ti 2.56, 3 Eu 2.83

total moment = 18.46 Bohr magnetons per cell
crystal system = trigonal
formation energy without anion corrections = -1615 meV per atom
E = -8.221 eV/atom

=====

[5]
DFT (PBE) results for a relaxed structure of Eu3TlS.

Lattice parameters (Å, degrees): 5.5576 5.5576 5.5576 90.00 90.00 90.00
Closest atoms and distances in Å follow each position.
Space group Pm-3m (No. 221)
Symmetry-distinct sites (fractional):
Eu  0.0000  0.0000  0.5000 x3  2 S 2.78
Tl  0.5000  0.5000  0.5000 x1  12 Eu 3.93
S  0.0000  0.0000  0.0000 x1  6 Eu 2.78

total moment = 22.20 Bohr magnetons per cell
crystal system = cubic
formation energy without anion corrections = -891 meV per atom
E = -8.354 eV/atom

=====

[6]
DFT (PBE) results for a relaxed structure of EuTlS2.

Lattice parameters (Å, degrees): 3.6413 3.6413 7.3134 90.00 90.00 90.00
Closest atoms and distances in Å follow each position.
Space group P4/mmm (No. 123)
Symmetry-distinct sites (fractional):
Eu  0.0000  0.0000  0.0000 x1  8 S 3.00
Tl  0.0000  0.0000  0.5000 x1  8 S 3.33, 4 Tl 3.64, 2 Eu 3.66
S  0.5000  0.5000  0.2108 x2  4 Eu 3.00, 1 S 3.08, 4 Tl 3.33

total moment = 6.19 Bohr magnetons per cell
crystal system = tetragonal
formation energy without anion corrections = -1044 meV per atom
E = -6.268 eV/atom

=====

[7]
DFT (PBE) results for a relaxed structure of EuTlS2.

Lattice parameters (Å, degrees): 4.1889 4.1889 21.6631 90.00 90.00 120.00
Closest atoms and distances in Å follow each position.
Space group R-3m (No. 166, hexagonal axes)
Symmetry-distinct sites (fractional):
Eu  0.0000  0.0000  0.0000 x3  6 S 2.85
Tl  0.0000  0.0000  0.5000 x3  6 S 3.20
S  0.0000  0.0000  0.2634 x6  3 Eu 2.85

total moment = 18.54 Bohr magnetons per cell
crystal system = trigonal
formation energy without anion corrections = -1187 meV per atom
E = -6.411 eV/atom

=====

[8]
DFT (PBE) results for a relaxed structure of EuTm2S.

Lattice parameters (Å, degrees): 3.6687 3.6687 30.2366 90.00 90.00 120.00
Closest atoms and distances in Å follow each position.
Space group R-3m (No. 166, hexagonal axes)
Symmetry-distinct sites (fractional):
Eu  0.0000  0.0000  0.0000 x3  2 Tm 3.44, 6 Eu 3.67
Tm  0.0000  0.0000  0.1137 x6  3 S 2.66
S  0.0000  0.0000  0.5000 x3  6 Tm 2.66

total moment = 22.69 Bohr magnetons per cell
crystal system = trigonal
formation energy without anion corrections = -755 meV per atom
E = -6.591 eV/atom

=====

[9]
DFT (PBE) results for a relaxed structure of EuTmS.

Lattice parameters (Å, degrees): 3.8320 3.8320 6.5736 90.00 90.00 120.00
Closest atoms and distances in Å follow each position.
Space group P3m1 (No. 156)
Symmetry-distinct sites (fractional):
Eu  0.0000  0.0000  0.0000 x1  3 S 2.89
Tm  0.6667  0.3333  0.4748 x1  3 S 2.73
S  0.3333  0.6667  0.7180 x1  3 Tm 2.73, 3 Eu 2.89

total moment = 8.03 Bohr magnetons per cell
crystal system = trigonal
formation energy without anion corrections = -1225 meV per atom
E = -7.516 eV/atom

=====

[10]
DFT (PBE) results for a relaxed structure of EuWS2.

Lattice parameters (Å, degrees): 3.3711 3.3711 26.5143 90.00 90.00 120.00
Closest atoms and distances in Å follow each position.
Space group R-3m (No. 166, hexagonal axes)
Symmetry-distinct sites (fractional):
Eu  0.0000  0.0000  0.0000 x3  2 S 2.90
W  0.0000  0.0000  0.5000 x3  6 S 2.47
S  0.0000  0.0000  0.1092 x6  3 W 2.47

total moment = 23.41 Bohr magnetons per cell
crystal system = trigonal
formation energy without anion corrections = -398 meV per atom
E = -8.269 eV/atom

=====

[11]
DFT (PBE) results for a relaxed structure of EuY2S.

Lattice parameters (Å, degrees): 3.7681 3.7681 30.3051 90.00 90.00 120.00
Closest atoms and distances in Å follow each position.
Space group R-3m (No. 166, hexagonal axes)
Symmetry-distinct sites (fractional):
Eu  0.0000  0.0000  0.0000 x3  2 Y 3.46, 6 Eu 3.77
Y  0.0000  0.0000  0.1143 x6  3 S 2.69
S  0.0000  0.0000  0.5000 x3  6 Y 2.69

total moment = 22.24 Bohr magnetons per cell
crystal system = trigonal
formation energy without anion corrections = -814 meV per atom
E = -7.646 eV/atom

=====

[12]
DFT (PBE) results for a relaxed structure of EuYS2.

Lattice parameters (Å, degrees): 3.9982 3.9982 19.8940 90.00 90.00 120.00
Closest atoms and distances in Å follow each position.
Space group R-3m (No. 166, hexagonal axes)
Symmetry-distinct sites (fractional):
Eu  0.0000  0.0000  0.0000 x3  6 S 2.90
Y  0.0000  0.0000  0.5000 x3  6 S 2.79
S  0.0000  0.0000  0.2455 x6  3 Y 2.79, 3 Eu 2.90

total moment = 20.83 Bohr magnetons per cell
crystal system = trigonal
formation energy without anion corrections = -2089 meV per atom
E = -8.338 eV/atom